(1)
Below is an optimized crystal structure of NdAl6Cu4, with properties calculated at the GGA-PBE level.

The value obtained for the energy of formation from the pure elements is -0.33 eV per atom. The total energy comes out at -4.30 eV/atom.

It has space group P-6m2 (No. 187), with a = 7.0890 Å, b = 7.0890 Å, c = 4.0358 Å, α = 90.00°, β = 90.00° and γ = 120.00°. The inequivalent atoms are Nd at (0.0000, 0.0000, 0.0000), Al at (0.2015, 0.4030, 0.5000), Al at (0.5342, 0.0684, 0.0000), Cu at (0.3333, 0.6667, 0.0000) and Cu at (0.4166, 0.2083, 0.5000).



(2)
Below is an optimized crystal structure of Mg2AgMo, with properties calculated at the GGA-PBE level.

The energy above the lowest structure with this stoichiometry is 216 meV per atom. The value obtained for the energy of formation from the pure elements is 0.33 eV per atom. The total energy comes out at -3.89 eV/atom.

It has space group Imm2 (No. 44), with a = 2.8732 Å, b = 4.9311 Å, c = 10.2472 Å, α = 90.00°, β = 90.00° and γ = 90.00°. The inequivalent atoms are Mg at (0.0000, 0.0000, 0.0000), Mg at (0.0000, 0.5000, 0.2293), Ag at (0.0000, 0.0000, 0.4933) and Mo at (0.0000, 0.5000, 0.7506).



(3)
Below is an optimized crystal structure of NpMn5P3, with properties calculated at the GGA-PBE level.

The value obtained for the energy of formation from the pure elements is -0.51 eV per atom. The total energy comes out at -8.84 eV/atom.

It has space group Cmcm (No. 63), with a = 3.7470 Å, b = 11.9330 Å, c = 10.7511 Å, α = 90.00°, β = 90.00° and γ = 90.00°. The inequivalent atoms are Np at (0.0000, 0.1813, 0.2500), Mn at (0.0000, 0.0000, 0.0000), Mn at (0.0000, 0.1911, 0.5582), Mn at (0.0000, 0.4530, 0.1443), P at (0.0000, 0.1098, 0.7500) and P at (0.0000, 0.3750, 0.5541).



(4)
Below is an optimized crystal structure of CoTc2Os, with properties calculated at the GGA-PBE level.

The energy above the lowest structure with this stoichiometry is 429 meV per atom. The value obtained for the energy of formation from the pure elements is 0.39 eV per atom. The total energy comes out at -9.38 eV/atom.

It has space group Cmm2 (No. 35), with a = 2.8279 Å, b = 4.4755 Å, c = 8.8738 Å, α = 90.00°, β = 90.00° and γ = 90.00°. The inequivalent atoms are Co at (0.0000, 0.0000, 0.0000), Tc at (0.0000, 0.0000, 0.5023), Tc at (0.0000, 0.5000, 0.7575) and Os at (0.0000, 0.5000, 0.2434).